Entry 1:
Computed, not measured: a geometry-optimized TbErCd structure at the PBE-GGA level of DFT.

Calculated values
energy above the lowest structure with this stoichiometry: 0 kJ/mol of formula units
VASP energy: -3.561 eV/atom
energy of formation: -0.19 eV per atom
calculated volume: 27.99 A^3/atom

```
data_TbErCd
_symmetry_space_group_name_H-M 'I 4 m m'
_symmetry_Int_Tables_number 107
_symmetry_space_group_name_Hall 'I 4 -2'
_cell_length_a 3.5895
_cell_length_b 3.5895
_cell_length_c 13.0340
_cell_angle_alpha 90.00
_cell_angle_beta 90.00
_cell_angle_gamma 90.00
loop_
_atom_site_label
_atom_site_type_symbol
_atom_site_fract_x
_atom_site_fract_y
_atom_site_fract_z
_atom_site_occupancy
Tb1 Tb 0.0000 0.0000 0.0000 1
Er1 Er 0.0000 0.0000 0.3135 1
Cd1 Cd 0.0000 0.0000 0.6597 1
```



Entry 2:
Computed, not measured: a geometry-optimized La2PrY6Tm3 structure at the PBE-GGA level of DFT.

Calculated values
VASP energy: -5.543 eV/atom
energy of formation: 0.03 eV per atom
calculated volume: 32.76 A^3/atom

```
data_La2PrY6Tm3
_symmetry_space_group_name_H-M 'C 1 2/m 1'
_symmetry_Int_Tables_number 12
_symmetry_space_group_name_Hall '-C 2y'
_cell_length_a 6.2300
_cell_length_b 10.7919
_cell_length_c 11.8784
_cell_angle_alpha 90.00
_cell_angle_beta 100.09
_cell_angle_gamma 90.00
loop_
_atom_site_label
_atom_site_type_symbol
_atom_site_fract_x
_atom_site_fract_y
_atom_site_fract_z
_atom_site_occupancy
La1 La 0.0000 0.1667 0.0000 1
Pr1 Pr 0.0000 0.5000 0.0000 1
Y1 Y 0.2473 0.1665 0.7433 1
Y2 Y 0.2467 0.5000 0.7433 1
Tm1 Tm 0.0000 0.0000 0.5000 1
Tm2 Tm 0.0000 0.3335 0.5000 1
```



Entry 3:
Computed, not measured: a geometry-optimized Tl5Hg5Sb structure at the PBE-GGA level of DFT.

Calculated values
energy above the lowest structure with this stoichiometry: 21 kJ/mol of formula units
VASP energy: -1.544 eV/atom
calculated volume: 31.00 A^3/atom
formation energy without anion corrections: 4.19 kJ per mole of atoms

```
data_Tl5Hg5Sb
_symmetry_space_group_name_H-M 'P -6 m 2'
_symmetry_Int_Tables_number 187
_symmetry_space_group_name_Hall 'P -6 2'
_cell_length_a 5.8649
_cell_length_b 5.8649
_cell_length_c 11.4460
_cell_angle_alpha 90.00
_cell_angle_beta 90.00
_cell_angle_gamma 120.00
loop_
_atom_site_label
_atom_site_type_symbol
_atom_site_fract_x
_atom_site_fract_y
_atom_site_fract_z
_atom_site_occupancy
Tl1 Tl 0.0000 0.0000 0.0000 1
Tl2 Tl 0.3333 0.6667 0.2925 1
Tl3 Tl 0.6667 0.3333 0.1518 1
Hg1 Hg 0.0000 0.0000 0.2654 1
Hg2 Hg 0.3384 0.1692 0.5000 1
Sb1 Sb 0.3333 0.6667 0.0000 1
```



Entry 4:
Computed, not measured: a geometry-optimized As2SBrN structure at the PBE-GGA level of DFT.

Calculated values
energy above the lowest structure with this stoichiometry: 0 kJ/mol of formula units
VASP energy: -3.557 eV/atom
calculated volume: 17.96 A^3/atom
formation energy without anion corrections: 108.87 kJ per mole of atoms

```
data_As2SBrN
_symmetry_space_group_name_H-M 'P 4/m m m'
_symmetry_Int_Tables_number 123
_symmetry_space_group_name_Hall '-P 4 2'
_cell_length_a 4.5422
_cell_length_b 4.5422
_cell_length_c 4.3524
_cell_angle_alpha 90.00
_cell_angle_beta 90.00
_cell_angle_gamma 90.00
loop_
_atom_site_label
_atom_site_type_symbol
_atom_site_fract_x
_atom_site_fract_y
_atom_site_fract_z
_atom_site_occupancy
As1 As 0.0000 0.5000 0.0000 1
S1 S 0.0000 0.0000 0.5000 1
Br1 Br 0.5000 0.5000 0.5000 1
N1 N 0.5000 0.5000 0.0000 1
```